! Ca2HgSbN PBE relaxed; values from VASP
&SYSTEM
  ibrav = 0, nat = 5, ntyp = 4
/
ATOMIC_SPECIES
Ca 40.08 Ca.upf
Hg 200.59 Hg.upf
Sb 121.76 Sb.upf
N 14.01 N.upf
ATOMIC_POSITIONS crystal
Ca 0.0000 0.5000 0.0000
Ca 0.5000 0.0000 0.0000
Hg 0.0000 0.0000 0.5000
Sb 0.5000 0.5000 0.5000
N 0.0000 0.0000 0.0000
CELL_PARAMETERS angstrom
4.9129 0.0000 0.0000
0.0000 4.9129 0.0000
0.0000 0.0000 4.6399
! formation energy without anion corrections	-570	meV per atom
! N(E_F)	2.62	states/eV per cell
! crystal system	tetragonal
! spin magnetization	0.0	μB/f.u.

---

! BiAsOs2 PBE relaxed; values from VASP
&SYSTEM
  ibrav = 0, nat = 8, ntyp = 3
/
ATOMIC_SPECIES
Bi 208.98 Bi.upf
As 74.92 As.upf
Os 190.23 Os.upf
ATOMIC_POSITIONS crystal
Bi 0.0000 0.0000 0.0000
Bi 0.7500 0.2500 0.5000
As 0.2500 0.7500 0.5000
As 0.5000 0.5000 0.0000
Os 0.1690 0.6250 0.0440
Os 0.3750 0.4190 0.5440
Os 0.5810 0.1250 0.9560
Os 0.8750 0.8310 0.4560
CELL_PARAMETERS angstrom
-2.9161 2.9161 5.7202
2.9161 -2.9161 5.7202
2.9161 2.9161 -5.7202
! DFT formation energy	0.983	eV/atom
! energy above the lowest structure with this stoichiometry	7.9	kJ per mole of atoms
! N(E_F)	5.23	states/eV per cell
! crystal system	tetragonal
! spin magnetization	0.0	μB/f.u.

---

! ReNiAg PBE relaxed; values from VASP
&SYSTEM
  ibrav = 0, nat = 3, ntyp = 3
/
ATOMIC_SPECIES
Re 186.21 Re.upf
Ni 58.69 Ni.upf
Ag 107.87 Ag.upf
ATOMIC_POSITIONS crystal
Re 0.0000 0.0000 0.0000
Ni 0.3333 0.6667 0.7081
Ag 0.6667 0.3333 0.3718
CELL_PARAMETERS angstrom
2.7360 0.0000 0.0000
-1.3680 2.3694 0.0000
0.0000 0.0000 6.7770
! DFT formation energy	0.315	eV/atom
! energy above the lowest structure with this stoichiometry	0.0	kJ per mole of atoms
! N(E_F)	3.07	states/eV per cell
! crystal system	trigonal
! spin magnetization	0.0	μB/f.u.

---

! HgTeW2 PBE relaxed; values from VASP
&SYSTEM
  ibrav = 0, nat = 4, ntyp = 3
/
ATOMIC_SPECIES
Hg 200.59 Hg.upf
Te 127.60 Te.upf
W 183.84 W.upf
ATOMIC_POSITIONS crystal
Hg 0.0000 0.0000 0.0000
Te 0.0000 0.0000 0.5000
W 0.5000 0.5000 0.2497
W 0.5000 0.5000 0.7503
CELL_PARAMETERS angstrom
1.5593 -2.5042 0.0000
1.5593 2.5042 0.0000
0.0000 0.0000 9.9223
! formation energy without anion corrections	1178	meV per atom
! energy above the lowest structure with this stoichiometry	70.1	kJ per mole of atoms
! N(E_F)	4.30	states/eV per cell
! crystal system	orthorhombic
! spin magnetization	0.0	μB/f.u.